## SnGePt2 (PBE-GGA)

Data for a relaxed SnGePt2 crystal.

a b c (Å): 3.5160 7.1886 7.2620
angles (deg): 111.91 108.72 86.98
Atoms (fractional coordinates):
Ge 0.4391 0.3488 0.4531
Ge 0.2217 0.2108 0.0178
Pt 0.0239 0.5917 0.6212
Pt 0.3405 0.5754 0.2303
Pt 0.6371 0.9678 0.8497
Pt 0.3203 0.9841 0.2406
Sn 0.6772 0.6462 0.9667
Sn 0.9837 0.9133 0.5042

Results
Its formation energy is -375 meV per atom.